Mn2Ni9N8: relaxed, PBE.

Properties
formation energy without anion corrections	286.7	meV per atom
Fermi-level density of states	0.4984	states/eV per atom

a = 15.151 Å, b = 4.160 Å, c = 5.837 Å
α = 90.00°, β = 106.49°, γ = 90.00°
Space group C2/m (No. 12)
Asymmetric unit:
Mn (0.183, 0.000, 0.209) x4
Ni (0.000, 0.500, 0.500) x2
Ni (0.023, 0.000, 0.282) x4
Ni (0.101, 0.500, 0.989) x4
Ni (0.158, 0.500, 0.466) x4
Ni (0.213, 0.000, 0.810) x4
N (0.036, 0.500, 0.235) x4
N (0.099, 0.000, 0.931) x4
N (0.150, 0.000, 0.476) x4
N (0.205, 0.500, 0.827) x4